(1)
DFT (PBE) results for a geometry-optimized CoGe4Pd2 structure.

Cell and atoms, written as POSCAR:
```
CoGe4Pd2
1.0
-2.295 2.295 6.105
2.295 -2.295 6.105
2.295 2.295 -6.105
Co Ge Pd
1 4 2
direct
0.000 0.000 0.000 Co
0.000 0.500 0.500 Ge
0.189 0.189 0.000 Ge
0.500 0.000 0.500 Ge
0.811 0.811 0.000 Ge
0.386 0.386 0.000 Pd
0.614 0.614 0.000 Pd
```

Results
Formation energy from the elements, eV/atom: 0.05
Final energy, eV per atom: -5.092
Fermi-level density of states, states/eV/f.u.: 4.60

(2)
DFT (PBE) results for a geometry-optimized Co2GePd2 structure.

Cell and atoms, written as POSCAR:
```
Co2GePd2
1.0
5.959 0.000 0.000
0.000 5.959 0.000
0.000 0.000 3.953
Co Ge Pd
4 2 4
direct
0.132 0.368 0.000 Co
0.368 0.868 0.000 Co
0.632 0.132 0.000 Co
0.868 0.632 0.000 Co
0.000 0.000 0.000 Ge
0.500 0.500 0.000 Ge
0.165 0.665 0.500 Pd
0.335 0.165 0.500 Pd
0.665 0.835 0.500 Pd
0.835 0.335 0.500 Pd
```

Results
Formation energy from the elements, eV/atom: 0.01
Final energy, eV per atom: -5.831
Fermi-level density of states, states/eV/f.u.: 4.68